1.
Material: DyY2PaP4
Method: DFT, PBE-GGA
State: relaxed

## Properties
SG   P2/m, No. 10
Calculated formation energy   -1.554 eV/atom

a = 4.001 Å, b = 6.912 Å, c = 6.911 Å
α = 109.48°, β = 90.00°, γ = 90.00°
Atoms (fractional coordinates):
Dy1 0.000 0.000 0.000
Y1 0.500 0.000 0.500
Y2 0.000 0.500 0.500
Pa1 0.500 0.500 0.000
P1 0.500 0.253 0.246
P2 0.500 0.747 0.754
P3 0.000 0.254 0.754
P4 0.000 0.746 0.246

---

2.
Material: MgGaF
Method: DFT, PBE-GGA
State: relaxed

## Properties
SG   Amm2, No. 38
Excess energy over the best structure of this formula in the dataset   173.6 meV/atom
Formation energy (no corrections)   -433 kJ/mol of formula units

a = 2.981 Å, b = 2.981 Å, c = 14.725 Å
α = 90.00°, β = 90.00°, γ = 120.00°
Atoms (fractional coordinates):
Mg1 0.552 0.104 0.000
Mg2 0.337 0.674 0.500
F1 0.670 0.340 0.423
F2 0.670 0.340 0.577
Ga1 0.219 0.437 0.830
Ga2 0.219 0.437 0.170

---

3.
Material: FeIrPb2
Method: DFT, PBE-GGA
State: relaxed

## Properties
SG   F-43m, No. 216
Calculated formation energy   0.719 eV/atom
Excess energy over the best structure of this formula in the dataset   481.2 meV/atom

a = 4.882 Å, b = 4.882 Å, c = 4.882 Å
α = 60.00°, β = 60.00°, γ = 60.00°
Last column: magnetic moment on the atom in μB.
Atoms (fractional coordinates):
Fe1 0.500 0.500 0.500  2.98
Ir1 0.750 0.750 0.750  0.39
Pb1 0.000 0.000 0.000  -0.01
Pb2 0.250 0.250 0.250  -0.04

---

4.
Material: Mg3In2Hg8
Method: DFT, PBE-GGA
State: relaxed

## Properties
SG   C2/m, No. 12
Calculated formation energy   -0.034 eV/atom
Excess energy over the best structure of this formula in the dataset   21.0 meV/atom

a = 5.865 Å, b = 7.868 Å, c = 8.294 Å
α = 118.32°, β = 95.08°, γ = 90.00°
Atoms (fractional coordinates):
Mg1 0.500 0.000 0.000
Mg2 0.000 0.218 0.000
Mg3 0.000 0.782 0.000
In1 0.377 0.221 0.441
In2 0.623 0.779 0.559
Hg1 0.974 0.636 0.271
Hg2 0.026 0.364 0.729
Hg3 0.873 0.154 0.308
Hg4 0.127 0.846 0.692
Hg5 0.555 0.589 0.795
Hg6 0.555 0.206 0.795
Hg7 0.445 0.794 0.205
Hg8 0.445 0.411 0.205

---

5.
Material: AcTcSn3
Method: DFT, PBE-GGA
State: relaxed

## Properties
SG   Pm-3m, No. 221
Calculated formation energy   -0.047 eV/atom

a = 5.234 Å, b = 5.234 Å, c = 5.234 Å
α = 90.00°, β = 90.00°, γ = 90.00°
Atoms (fractional coordinates):
Ac1 0.500 0.500 0.500
Sn1 0.000 0.500 0.000
Sn2 0.000 0.000 0.500
Sn3 0.500 0.000 0.000
Tc1 0.000 0.000 0.000

---

6.
Material: Be2Tl2Sn
Method: DFT, PBE-GGA
State: relaxed

## Properties
SG   I4/mmm, No. 139
Calculated formation energy   0.640 eV/atom
Excess energy over the best structure of this formula in the dataset   0.0 meV/atom

a = 4.181 Å, b = 4.181 Å, c = 6.723 Å
α = 71.89°, β = 71.89°, γ = 90.00°
Atoms (fractional coordinates):
Be1 0.750 0.250 0.500
Be2 0.250 0.750 0.500
Tl1 0.373 0.373 0.253
Tl2 0.627 0.627 0.747
Sn1 0.000 0.000 0.000

---

7.
Material: Dy2TlSb
Method: DFT, PBE-GGA
State: relaxed

## Properties
SG   Cmcm, No. 63
Excess energy over the best structure of this formula in the dataset   0.0 meV/atom
Formation energy (no corrections)   -276 kJ/mol of formula units

a = 4.380 Å, b = 4.470 Å, c = 12.221 Å
α = 100.54°, β = 90.00°, γ = 90.00°
Atoms (fractional coordinates):
Dy1 0.750 0.684 0.368
Dy2 0.250 0.316 0.632
Dy3 0.750 0.937 0.873
Dy4 0.250 0.063 0.127
Tl1 0.250 0.454 0.908
Tl2 0.750 0.546 0.092
Sb1 0.250 0.188 0.376
Sb2 0.750 0.812 0.624

---

8.
Material: YTe
Method: DFT, PBE-GGA
State: relaxed

## Properties
SG   I4_1/amd, No. 141
Formation energy (no corrections)   -185 kJ/mol of formula units

a = 7.321 Å, b = 7.321 Å, c = 7.321 Å
α = 145.93°, β = 145.93°, γ = 48.95°
Last column: magnetic moment on the atom in μB.
Atoms (fractional coordinates):
Te1 0.000 0.000 0.000  0.00
Te2 0.250 0.750 0.500  0.00
Y1 0.500 0.500 0.000  0.11
Y2 0.750 0.250 0.500  0.11

---

It is found that the calculated volume values, taken in the order of the records, are 22.522; 18.891; 20.566; 25.787; 28.678; 21.107; 29.403; 30.654 Å³ per atom.
It is found that the total moment values, taken in the order of the records, are 0.00; 0.00; 3.33; 0.00; 0.00; 0.00; 0.00; 0.25 μB/f.u..
It is found that the E_tot values, taken in the order of the records, are -7.64; -3.66; -5.47; -1.01; -5.34; -2.60; -4.64; -5.76 eV/atom.